# 1
Ac2InTe6Pb3 | GGA-PBE | relaxed

Values from the calculation:
- formation energy without anion corrections (eV per atom) = -0.767
- space group = C2/m (12)

The structure in POSCAR format:
```
Ac2InTe6Pb3
1.0
4.9479 0.0000 0.0000
0.0000 9.1288 0.4513
-2.4739 -2.5364 9.8484
Te In Pb Ac
6 1 3 2
Cartesian
0.0000 2.3349 0.1462
2.4739 4.2575 10.1535
0.0000 6.7599 6.8759
2.4739 4.4175 3.5355
2.4739 -0.1676 3.4238
0.0000 2.1749 6.7642
2.4739 0.0000 0.0000
0.0000 6.8963 3.5902
2.4739 -0.3040 6.7095
2.4739 4.5644 0.2256
0.0000 2.1119 3.3909
2.4739 4.4804 6.9088
```

***

# 2
CaFeCl2 | GGA-PBE | relaxed

Values from the calculation:
- formation energy without anion corrections (eV per atom) = -0.725
- space group = R-3m (166)
- excess energy over the best structure of this formula in the dataset (eV per atom) = 0.100

The structure in POSCAR format:
```
CaFeCl2
1.0
-10.1817 1.4740 -0.2040
-9.2957 3.0487 3.1902
-8.9331 5.1069 -0.0375
Fe Cl Ca
1 2 1
Cartesian
0.0000 0.0000 0.0000
-25.1311 8.5181 2.6084
-3.2795 1.1116 0.3404
-14.2053 4.8148 1.4744
```

***

# 3
ScAlAg3 | GGA-PBE | relaxed

Values from the calculation:
- DFT formation energy (eV/atom) = 0.271
- space group = Pm-3m (221)
- excess energy over the best structure of this formula in the dataset (eV per atom) = 0.485

The structure in POSCAR format:
```
ScAlAg3
1.0
-4.3786 1.4259 -1.3062
-1.9260 -2.9279 3.2603
0.1722 3.5080 3.2521
Al Ag Sc
1 3 1
Cartesian
0.0000 0.0000 0.0000
0.0861 1.7540 1.6261
-0.9630 -1.4640 1.6301
-2.1893 0.7130 -0.6531
-3.0662 1.0030 2.6031
```

***

# 4
Rb3Y3HoTe8 | GGA-PBE | relaxed

Values from the calculation:
- formation energy without anion corrections (eV per atom) = -1.327
- space group = R-3m (166)

The structure in POSCAR format:
```
Rb3Y3HoTe8
1.0
8.8088 -0.0011 -0.0003
-4.4054 7.6316 -0.0347
0.0004 -5.0484 8.8685
Te Y Rb Ho
8 3 3 1
Cartesian
4.4043 0.0278 6.1973
6.6020 -1.2598 2.6640
2.2070 -1.2595 2.6641
-0.0004 2.5543 2.6362
-0.0003 0.0338 6.1866
-2.1981 3.8419 6.1694
2.1969 3.8415 6.1694
4.4042 2.5483 2.6468
2.2019 1.2910 4.4167
4.4046 -2.5247 4.4341
-2.2025 1.2916 4.4169
0.0000 0.0000 0.0000
-2.2027 3.8158 -0.0174
2.2017 3.8153 -0.0175
0.0002 -2.5242 4.4342
```

***

| no. | magnetization (μB/cell) |
| --- | --- |
| 1 | 0.00 |
| 2 | 3.74 |
| 3 | 0.00 |
| 4 | 0.00 |